Entry from Alexandria: a relaxed Fe2Hg2F7 crystal (PBE+U).

The calculation puts the final energy at -91.9 eV for the cell shown. As for the volume: 15.1 Å³ per atom.

abc: 8.645 6.429 5.992
angles: 90.00 95.54 90.00
Space group C2/m (No. 12)
Symmetry-distinct sites (fractional):
Fe  0.236  0.000  0.042 [4 per cell]
Hg  0.000  0.202  0.500 [4 per cell]
F  0.000  0.000  0.000 [2 per cell]
F  0.085  0.500  0.712 [4 per cell]
F  0.207  0.291  0.189 [8 per cell]